No. 1
Here is a relaxed structure of CaB2Ir from Alexandria. Energies are from PBE-GGA.

The structure belongs to space group I4_1/amd (No. 141, origin choice 2); the cell edges are 4.5328, 4.5328 and 13.1380 Å and the angles 90.00°, 90.00° and 90.00°. The inequivalent atoms are Ca at (0.0000, 0.2500, 0.3750), B at (0.0000, 0.0000, 0.0000) and Ir at (0.0000, 0.2500, 0.8750).

For the distance to the lowest polymorph of the same formula, the calculation gives 0.000 eV per atom. As for the total energy: -6.3216 eV/atom. The formation energy comes out at -267 meV per atom.



No. 2
Here is a relaxed structure of Dy8HoIr6 from Alexandria. Energies are from PBE-GGA.

The structure belongs to space group R-3 (No. 148, hexagonal axes); the cell edges are 8.2702, 8.2702 and 17.9905 Å and the angles 90.00°, 90.00° and 120.00°. The inequivalent atoms are Dy at (0.0000, 0.0000, 0.1667), Dy at (0.0002, 0.3328, 0.6119), Ho at (0.0000, 0.0000, 0.5000) and Ir at (0.0001, 0.3331, 0.4433).

As for the total energy: -7.0972 eV/atom. The formation energy comes out at -793 meV per atom.



No. 3
Here is a relaxed structure of Th3TlHg4 from Alexandria. Energies are from PBE-GGA.

The structure belongs to space group P4/mmm (No. 123); the cell edges are 4.9341, 4.9341 and 8.8796 Å and the angles 90.00°, 90.00° and 90.00°. The inequivalent atoms are Th at (0.0000, 0.0000, 0.0000), Th at (0.0000, 0.0000, 0.5000), Th at (0.5000, 0.5000, 0.0000), Tl at (0.5000, 0.5000, 0.5000) and Hg at (0.0000, 0.5000, 0.2528).

For the distance to the lowest polymorph of the same formula, the calculation gives 0.000 eV per atom. As for the total energy: -3.4131 eV/atom. The formation energy comes out at -184 meV per atom.



No. 4
Here is a relaxed structure of LiMg4Cd15 from Alexandria. Energies are from PBE-GGA.

The structure belongs to space group P4/mmm (No. 123); the cell edges are 4.4075, 4.4075 and 22.3377 Å and the angles 90.00°, 90.00° and 90.00°. The inequivalent atoms are Li at (0.0000, 0.0000, 0.0000), Mg at (0.0000, 0.0000, 0.1976), Mg at (0.0000, 0.0000, 0.3986), Cd at (0.0000, 0.5000, 0.0966), Cd at (0.0000, 0.5000, 0.2984), Cd at (0.0000, 0.5000, 0.5000), Cd at (0.5000, 0.5000, 0.0000), Cd at (0.5000, 0.5000, 0.1982) and Cd at (0.5000, 0.5000, 0.3993).

As for the total energy: -1.1873 eV/atom. The formation energy comes out at -86 meV per atom.



No. 5
Here is a relaxed structure of Na4ErTh3Te8 from Alexandria. Energies are from PBE-GGA.

The structure belongs to space group R-3m (No. 166, hexagonal axes); the cell edges are 8.7763, 8.7763 and 23.3899 Å and the angles 90.00°, 90.00° and 120.00°. The inequivalent atoms are Na at (0.0000, 0.0000, 0.0000), Na at (0.0000, 0.5000, 0.0000), Er at (0.0000, 0.0000, 0.5000), Th at (0.0000, 0.5000, 0.5000), Te at (0.0000, 0.0000, 0.2492) and Te at (0.0079, 0.5040, 0.2466).

As for the formation energy without anion corrections: -26.30 kcal/mol of atoms. As for the total energy: -4.7174 eV/atom.



No. 6
Here is a relaxed structure of CsY3Cu from Alexandria. Energies are from PBE-GGA.

The structure belongs to space group Pm-3m (No. 221); the cell edges are 5.5838, 5.5838 and 5.5838 Å and the angles 90.00°, 90.00° and 90.00°. The inequivalent atoms are Cs at (0.0000, 0.0000, 0.0000), Y at (0.0000, 0.0000, 0.5000) and Cu at (0.5000, 0.5000, 0.5000).

For the distance to the lowest polymorph of the same formula, the calculation gives 1.184 eV per atom. As for the total energy: -3.3190 eV/atom. The formation energy comes out at 1549 meV per atom.



No. 7
Here is a relaxed structure of DyTmMg from Alexandria. Energies are from PBE-GGA.

The structure belongs to space group Cmcm (No. 63); the cell edges are 3.6385, 17.1587 and 5.4226 Å and the angles 90.00°, 90.00° and 90.00°. The inequivalent atoms are Dy at (0.0000, 0.2268, 0.2500), Tm at (0.0000, 0.0944, 0.7500) and Mg at (0.0000, 0.4354, 0.7500).

For the distance to the lowest polymorph of the same formula, the calculation gives 0.000 eV per atom. As for the total energy: -3.6088 eV/atom. The formation energy comes out at -53 meV per atom.



No. 8
Here is a relaxed structure of Hf2Mg2S from Alexandria. Energies are from PBE-GGA.

The structure belongs to space group P4/mbm (No. 127); the cell edges are 6.4052, 6.4052 and 5.1835 Å and the angles 90.00°, 90.00° and 90.00°. The inequivalent atoms are Hf at (0.1604, 0.3396, 0.0000), Mg at (0.1470, 0.6470, 0.5000) and S at (0.0000, 0.0000, 0.5000).

For the distance to the lowest polymorph of the same formula, the calculation gives 0.546 eV per atom. As for the formation energy without anion corrections: 3.37 kcal/mol of atoms. As for the total energy: -5.2984 eV/atom.



No. 9
Here is a relaxed structure of MnAl2Fe5 from Alexandria. Energies are from PBE-GGA.

The structure belongs to space group Immm (No. 71); the cell edges are 2.5326, 8.0826 and 9.7440 Å and the angles 90.00°, 90.00° and 90.00°. The inequivalent atoms are Mn at (0.0000, 0.0000, 0.0000), Al at (0.0000, 0.5000, 0.2570), Fe at (0.0000, 0.2342, 0.3752) and Fe at (0.0000, 0.5000, 0.0000).

As for the total energy: -7.3697 eV/atom. The formation energy comes out at 1 meV per atom.



No. 10
Here is a relaxed structure of Ac8SiIr3I4 from Alexandria. Energies are from PBE-GGA.

The structure belongs to space group R-3m (No. 166, hexagonal axes); the cell edges are 8.9574, 8.9574 and 25.6040 Å and the angles 90.00°, 90.00° and 120.00°. The inequivalent atoms are Ac at (0.0000, 0.0000, 0.2289), Ac at (0.0135, 0.5068, 0.7719), Si at (0.0000, 0.0000, 0.5000), Ir at (0.0000, 0.5000, 0.5000), I at (0.0000, 0.0000, 0.0000) and I at (0.0000, 0.5000, 0.0000).

As for the formation energy without anion corrections: -22.81 kcal/mol of atoms. As for the total energy: -5.4311 eV/atom.



No. 11
Here is a relaxed structure of ScIrO3 from Alexandria. Energies are from PBE-GGA.

The structure belongs to space group Pm-3m (No. 221); the cell edges are 3.9004, 3.9004 and 3.9004 Å and the angles 90.00°, 90.00° and 90.00°. The inequivalent atoms are Sc at (0.0000, 0.0000, 0.0000), Ir at (0.5000, 0.5000, 0.5000) and O at (0.0000, 0.5000, 0.5000).

As for the formation energy without anion corrections: -23.97 kcal/mol of atoms. As for the total energy: -7.0528 eV/atom.



No. 12
Here is a relaxed structure of PrScCuPd from Alexandria. Energies are from PBE-GGA.

The structure belongs to space group F-43m (No. 216); the cell edges are 6.9682, 6.9682 and 6.9682 Å and the angles 90.00°, 90.00° and 90.00°. The inequivalent atoms are Pr at (0.0000, 0.0000, 0.0000), Sc at (0.0000, 0.0000, 0.5000), Cu at (0.2500, 0.2500, 0.7500) and Pd at (0.2500, 0.2500, 0.2500).

As for the total energy: -5.5377 eV/atom. The formation energy comes out at -438 meV per atom.